(1)
# ZnGa2TeSe

A relaxed ZnGa2TeSe crystal (PBE, Alexandria).

As for the uncorrected formation energy: 1.0 eV/f.u.

The space group is P4/mmm (No. 123) and the conventional cell measures 5.091, 5.091 and 4.817 Å, with angles of 90.00, 90.00 and 90.00 degrees. The asymmetric unit holds Zn at (0.000, 0.000, 0.000), Ga at (0.000, 0.500, 0.000), Te at (0.500, 0.500, 0.500) and Se at (0.000, 0.000, 0.500).

---

(2)
# CrMoSe2

A relaxed CrMoSe2 crystal (PBE, Alexandria).

The relative energy among the computed polymorphs is 175.3 meV/atom. As for the uncorrected formation energy: -0.5 eV/f.u.

The space group is P4mm (No. 99) and the conventional cell measures 3.051, 3.051 and 7.924 Å, with angles of 90.00, 90.00 and 90.00 degrees. The asymmetric unit holds Cr at (0.000, 0.000, 0.000), Mo at (0.500, 0.500, 0.229), Se at (0.000, 0.000, 0.412) and Se at (0.500, 0.500, 0.850).

---

(3)
# Pm12Sm7Pu

A relaxed Pm12Sm7Pu crystal (PBE, Alexandria).

The formation energy is 13.06 eV/f.u.

The space group is Im-3 (No. 204) and the conventional cell measures 11.567, 11.567 and 11.567 Å, with angles of 90.00, 90.00 and 90.00 degrees. The asymmetric unit holds Pm at (0.000, 0.248, 0.249), Sm at (0.000, 0.000, 0.500), Sm at (0.250, 0.250, 0.250) and Pu at (0.000, 0.000, 0.000).

---

(4)
# CdP2S4

A relaxed CdP2S4 crystal (PBE, Alexandria).

As for the uncorrected formation energy: 1.3 eV/f.u.

The space group is I4/m (No. 87) and the conventional cell measures 7.209, 7.209 and 6.333 Å, with angles of 90.00, 90.00 and 90.00 degrees. The asymmetric unit holds Cd at (0.000, 0.000, 0.000), P at (0.000, 0.500, 0.250) and S at (0.168, 0.327, 0.000).

---

(5)
# KAlTl3

A relaxed KAlTl3 crystal (PBE, Alexandria).

The relative energy among the computed polymorphs is 787.1 meV/atom. The formation energy is 4.44 eV/f.u.

The space group is Pm-3m (No. 221) and the conventional cell measures 6.092, 6.092 and 6.092 Å, with angles of 90.00, 90.00 and 90.00 degrees. The asymmetric unit holds K at (0.000, 0.000, 0.000), Al at (0.500, 0.500, 0.500) and Tl at (0.000, 0.000, 0.500).

---

(6)
# Sr2Sn4Hg5

A relaxed Sr2Sn4Hg5 crystal (PBE, Alexandria).

The formation energy is -2.40 eV/f.u.

The space group is C2/m (No. 12) and the conventional cell measures 12.176, 6.910 and 9.779 Å, with angles of 90.00, 127.91 and 90.00 degrees. The asymmetric unit holds Sr at (0.210, 0.000, 0.280), Sn at (0.190, 0.000, 0.922), Sn at (0.230, 0.000, 0.651), Hg at (0.000, 0.500, 0.000) and Hg at (0.011, 0.286, 0.340).

---

(7)
# SrCuRe4

A relaxed SrCuRe4 crystal (PBE, Alexandria).

The formation energy is 4.34 eV/f.u.

The space group is F-43m (No. 216) and the conventional cell measures 7.576, 7.576 and 7.576 Å, with angles of 90.00, 90.00 and 90.00 degrees. The asymmetric unit holds Sr at (0.000, 0.000, 0.000), Cu at (0.250, 0.250, 0.750) and Re at (0.124, 0.124, 0.376).

---

(8)
# Sm2Zn12Cu3Ag

A relaxed Sm2Zn12Cu3Ag crystal (PBE, Alexandria).

The formation energy is 4.48 eV/f.u.

The space group is R-3m (No. 166, hexagonal axes) and the conventional cell measures 8.2132, 8.2132 and 19.5150 Å, with angles of 90.00, 90.00 and 120.00 degrees. The asymmetric unit holds Sm at (0.0000, 0.0000, 0.1090), Zn at (0.0135, 0.5068, 0.8774), Zn at (0.0154, 0.5077, 0.3582), Cu at (0.0000, 0.5000, 0.0000) and Ag at (0.0000, 0.0000, 0.5000).

---

(9)
# Na2LaSnH

A relaxed Na2LaSnH crystal (PBE, Alexandria).

The final energy comes out at -16.85 eV/cell.

The space group is P4/mmm (No. 123) and the conventional cell measures 4.724, 4.724 and 5.275 Å, with angles of 90.00, 90.00 and 90.00 degrees. The asymmetric unit holds Na at (0.000, 0.500, 0.000), La at (0.000, 0.000, 0.500), Sn at (0.500, 0.500, 0.500) and H at (0.000, 0.000, 0.000).

---

(10)
# La7Rh5

A relaxed La7Rh5 crystal (PBE, Alexandria).

The formation energy is -8.15 eV/f.u.

The space group is C2/m (No. 12) and the conventional cell measures 13.685, 4.071 and 12.491 Å, with angles of 90.00, 105.70 and 90.00 degrees. The asymmetric unit holds La at (0.000, 0.000, 0.000), La at (0.040, 0.500, 0.285), La at (0.156, 0.000, 0.552), La at (0.240, 0.000, 0.859), Rh at (0.000, 0.500, 0.500), Rh at (0.115, 0.500, 0.925) and Rh at (0.194, 0.000, 0.311).

---

(11)
# YCoSe

A relaxed YCoSe crystal (PBE, Alexandria).

As for the uncorrected formation energy: -2.8 eV/f.u.

The space group is P-6m2 (No. 187) and the conventional cell measures 4.0294, 4.0294 and 3.8648 Å, with angles of 90.00, 90.00 and 120.00 degrees. The asymmetric unit holds Y at (0.0000, 0.0000, 0.0000), Co at (0.6667, 0.3333, 0.5000) and Se at (0.3333, 0.6667, 0.5000).

---

(12)
# Bi2H2Pd

A relaxed Bi2H2Pd crystal (PBE, Alexandria).

The final energy comes out at -36.63 eV/cell.

The space group is I4/mmm (No. 139) and the conventional cell measures 3.464, 3.464 and 13.659 Å, with angles of 90.00, 90.00 and 90.00 degrees. The asymmetric unit holds Bi at (0.000, 0.000, 0.131), H at (0.000, 0.500, 0.250) and Pd at (0.000, 0.000, 0.500).

---

(13)
# SrReIr

A relaxed SrReIr crystal (PBE, Alexandria).

The relative energy among the computed polymorphs is 2213.9 meV/atom. The formation energy is 6.76 eV/f.u.

The space group is F-43m (No. 216) and the conventional cell measures 6.627, 6.627 and 6.627 Å, with angles of 90.00, 90.00 and 90.00 degrees. The asymmetric unit holds Sr at (0.000, 0.000, 0.000), Re at (0.250, 0.250, 0.250) and Ir at (0.250, 0.250, 0.750).

---

(14)
# Dy2AlGa3Rh4

A relaxed Dy2AlGa3Rh4 crystal (PBE, Alexandria).

The formation energy is -8.30 eV/f.u.

The space group is P-4m2 (No. 115) and the conventional cell measures 4.216, 4.216 and 10.169 Å, with angles of 90.00, 90.00 and 90.00 degrees. The asymmetric unit holds Dy at (0.000, 0.500, 0.235), Al at (0.000, 0.000, 0.500), Ga at (0.000, 0.500, 0.872), Ga at (0.500, 0.500, 0.500), Rh at (0.000, 0.000, 0.000), Rh at (0.000, 0.500, 0.631) and Rh at (0.500, 0.500, 0.000).

---

(15)
# LiAcHoGa

A relaxed LiAcHoGa crystal (PBE, Alexandria).

The formation energy is -0.88 eV/f.u.

The space group is F-43m (No. 216) and the conventional cell measures 7.571, 7.571 and 7.571 Å, with angles of 90.00, 90.00 and 90.00 degrees. The asymmetric unit holds Li at (0.000, 0.000, 0.000), Ac at (0.250, 0.250, 0.750), Ho at (0.250, 0.250, 0.250) and Ga at (0.000, 0.000, 0.500).

---

(16)
# Ac12DyCo7

A relaxed Ac12DyCo7 crystal (PBE, Alexandria).

The formation energy is -0.36 eV/f.u.

The space group is R-3 (No. 148, hexagonal axes) and the conventional cell measures 14.9028, 14.9028 and 10.1215 Å, with angles of 90.00, 90.00 and 120.00 degrees. The asymmetric unit holds Ac at (0.0250, 0.5845, 0.1600), Ac at (0.0475, 0.1694, 0.8239), Dy at (0.0000, 0.0000, 0.5000), Co at (0.0000, 0.0000, 0.0000) and Co at (0.0443, 0.1837, 0.3394).

---

(17)
# Rb3LiTc2O8

A relaxed Rb3LiTc2O8 crystal (PBE, Alexandria).

As for the uncorrected formation energy: -23.1 eV/f.u.

The space group is P-3m1 (No. 164) and the conventional cell measures 6.0832, 6.0832 and 7.9541 Å, with angles of 90.00, 90.00 and 120.00 degrees. The asymmetric unit holds Rb at (0.0000, 0.0000, 0.0000), Rb at (0.3333, 0.6667, 0.6655), Li at (0.0000, 0.0000, 0.5000), Tc at (0.3333, 0.6667, 0.2359), O at (0.1742, 0.3483, 0.3195) and O at (0.3333, 0.6667, 0.0131).

---

(18)
# CsH6Br2N2

A relaxed CsH6Br2N2 crystal (PBE, Alexandria).

The final energy comes out at -46.52 eV/cell.

The space group is P-1 (No. 2) and the conventional cell measures 5.934, 5.976 and 6.456 Å, with angles of 82.72, 83.05 and 66.69 degrees. The asymmetric unit holds Cs at (0.000, 0.000, 0.000), H at (0.160, 0.422, 0.688), H at (0.420, 0.164, 0.684), H at (0.429, 0.428, 0.741), Br at (0.321, 0.319, 0.251) and N at (0.325, 0.324, 0.752).

---

(19)
# Tb6Pr2YHo3

A relaxed Tb6Pr2YHo3 crystal (PBE, Alexandria).

The formation energy is 0.21 eV/f.u.

The space group is C2/m (No. 12) and the conventional cell measures 6.200, 10.732 and 11.867 Å, with angles of 90.00, 99.98 and 90.00 degrees. The asymmetric unit holds Tb at (0.248, 0.000, 0.246), Tb at (0.248, 0.334, 0.246), Pr at (0.000, 0.334, 0.500), Y at (0.000, 0.000, 0.500), Ho at (0.000, 0.166, 0.000) and Ho at (0.000, 0.500, 0.000).

---

(20)
# Tb7Pm12Ho

A relaxed Tb7Pm12Ho crystal (PBE, Alexandria).

The relative energy among the computed polymorphs is 8.4 meV/atom. The formation energy is 4.79 eV/f.u.

The space group is R-3m (No. 166, hexagonal axes) and the conventional cell measures 19.6162, 19.6162 and 6.2129 Å, with angles of 90.00, 90.00 and 120.00 degrees. The asymmetric unit holds Tb at (0.0000, 0.0000, 0.0000), Tb at (0.0818, 0.1637, 0.2926), Pm at (0.0000, 0.4126, 0.0000), Pm at (0.0973, 0.5486, 0.4628) and Ho at (0.0000, 0.0000, 0.5000).

---

| no. | DOS at the Fermi energy (states/eV/f.u.) |
| --- | --- |
| 1 | 3.9 |
| 2 | 3.3 |
| 3 | 39.3 |
| 4 | 2.7 |
| 5 | 5.6 |
| 6 | 4.0 |
| 7 | 5.4 |
| 8 | 8.4 |
| 9 | 1.5 |
| 10 | 7.3 |
| 11 | 1.6 |
| 12 | 1.7 |
| 13 | 2.8 |
| 14 | 7.1 |
| 15 | 3.2 |
| 16 | 16.6 |
| 17 | 11.2 |
| 18 | 3.2 |
| 19 | 15.4 |
| 20 | 27.1 |